Record 1
La6Sm12Sn | GGA-PBE | relaxed

The space group is R-3 (No. 148, hexagonal axes) and the conventional cell measures 12.1826, 12.1826 and 15.2229 Å, with angles of 90.00, 90.00 and 120.00 degrees. The distinct sites, in fractional coordinates, are La at (0.0156, 0.5935, 0.1848), Sm at (0.0089, 0.8335, 0.3149), Sm at (0.0489, 0.1972, 0.9168) and Sn at (0.0000, 0.0000, 0.5000).

As for the crystal system: trigonal.

=====

Record 2
LaSmSn | GGA-PBE | relaxed

The space group is I4/mmm (No. 139) and the conventional cell measures 4.735, 4.735 and 17.600 Å, with angles of 90.00, 90.00 and 90.00 degrees. The distinct sites, in fractional coordinates, are La at (0.000, 0.000, 0.178), Sm at (0.000, 0.500, 0.000) and Sn at (0.000, 0.000, 0.368).

For the energy above the most stable polymorph in this dataset, the calculation gives 0.00 eV/f.u. As for the crystal system: tetragonal.

=====

Record 3
La3Sm4Sn4 | GGA-PBE | relaxed

The space group is Immm (No. 71) and the conventional cell measures 4.338, 9.513 and 17.613 Å, with angles of 90.00, 90.00 and 90.00 degrees. The distinct sites, in fractional coordinates, are La at (0.000, 0.000, 0.000), La at (0.000, 0.500, 0.102), Sm at (0.000, 0.309, 0.329), Sn at (0.000, 0.000, 0.254) and Sn at (0.000, 0.219, 0.500).

As for the crystal system: orthorhombic.

=====

Record 4
LaSmSn | GGA-PBE | relaxed

The space group is C2/m (No. 12) and the conventional cell measures 7.576, 5.680 and 9.515 Å, with angles of 90.00, 110.51 and 90.00 degrees. The distinct sites, in fractional coordinates, are La at (0.194, 0.000, 0.405), Sm at (0.195, 0.000, 0.901) and Sn at (0.005, 0.500, 0.757).

For the energy above the most stable polymorph in this dataset, the calculation gives 0.56 eV/f.u. As for the crystal system: monoclinic.

=====

Number 1: calculated formation energy 15.6 meV per atom, Fermi-level density of states 27.782 states/eV/f.u.. Number 2: calculated formation energy -624.1 meV per atom, Fermi-level density of states 3.286 states/eV/f.u.. Number 3: calculated formation energy -579.8 meV per atom, Fermi-level density of states 11.558 states/eV/f.u.. Number 4: calculated formation energy -437.3 meV per atom, Fermi-level density of states 2.303 states/eV/f.u..